{
  "formula": "TlWCl",
  "functional": "meta-GGA SCAN",
  "state": "single point on PBEsol structure",
  "lattice_angstrom": [[2.9098, 0.0000, 0.0000], [0.0000, 2.9098, 0.0000], [0.0000, 0.0000, 14.5060]],
  "species": ["Tl", "Tl", "W", "W", "Cl", "Cl"],
  "frac_coords": [[0.0000, 0.0000, 0.0000], [0.5000, 0.5000, 0.5000], [0.0000, 0.0000, 0.6662], [0.5000, 0.5000, 0.1662], [0.0000, 0.0000, 0.2693], [0.5000, 0.5000, 0.7693]],
  "final_energy_ev_per_cell": -296.107,
  "de_polymorph_mev_per_atom": 0,
  "rho_g_cm3": 11.46,
  "e_form_raw_mev_per_atom": 657
}